This record from the Alexandria database describes a relaxed structure of Nd5Pu3Te8. The functional is PBE.

```
data_Nd5Pu3Te8
_chemical_formula_sum 'Nd15 Pu9 Te24'
_space_group_name_H-M_alt 'R -3 m'
_space_group_IT_number 166
_space_group_name_Hall '-R 3 2"'
_cell_length_a 8.9149
_cell_length_b 8.9149
_cell_length_c 22.0661
_cell_angle_alpha 90.00
_cell_angle_beta 90.00
_cell_angle_gamma 120.00
loop_
_atom_site_label
_atom_site_type_symbol
_atom_site_fract_x
_atom_site_fract_y
_atom_site_fract_z
Nd1 Nd 0.0000 0.0000 0.0000
Nd2 Nd 0.0000 0.0000 0.5000
Nd3 Nd 0.0000 0.5000 0.0000
Pu1 Pu 0.0000 0.5000 0.5000
Te1 Te 0.0000 0.0000 0.2480
Te2 Te 0.0028 0.5014 0.7513
```

Output
Total energy: -7.065 eV/atom
ΔE_f (raw): -1.317 eV/atom
Density of states at the Fermi level: 104.69 states/eV/cell